This record from the Alexandria database describes crystalline NdEr6Ni2 at its relaxed geometry. The functional is GGA-PBE.

Structure (CIF):
```
data_NdEr6Ni2
_chemical_formula_sum 'Nd4 Er24 Ni8'
_symmetry_space_group_name_H-M 'I m m m'
_symmetry_Int_Tables_number 71
_symmetry_space_group_name_Hall '-I 2 2'
_cell_length_a 9.088
_cell_length_b 10.158
_cell_length_c 10.171
_cell_angle_alpha 90.00
_cell_angle_beta 90.00
_cell_angle_gamma 90.00
loop_
_atom_site_label
_atom_site_fract_x
_atom_site_fract_y
_atom_site_fract_z
_atom_site_occupancy
Nd1 0.000 0.000 0.000 1
Nd2 0.000 0.500 0.000 1
Er1 0.000 0.223 0.222 1
Er2 0.196 0.500 0.307 1
Er3 0.197 0.190 0.500 1
Ni1 0.000 0.000 0.374 1
Ni2 0.000 0.381 0.500 1
```

Summary:
Electronic total energy   -4.992 eV per atom
Formation enthalpy at 0 K   -0.135 eV per atom